# Li5AcAu7 | Alexandria | PBE-GGA | optimized geometry
# Total magnetic moment (μB per atom): 0.00
# Total DFT energy (no corrections) (eV/atom): -3.34
data_Li5AcAu7
_chemical_formula_sum 'Li10 Ac2 Au14'
_space_group_name_H-M_alt 'I m m 2'
_space_group_IT_number 44
_space_group_name_Hall 'I 2 -2'
_cell_length_a 5.451
_cell_length_b 9.353
_cell_length_c 9.256
_cell_angle_alpha 90.00
_cell_angle_beta 90.00
_cell_angle_gamma 90.00
loop_
_atom_site_label
_atom_site_fract_x
_atom_site_fract_y
_atom_site_fract_z
_atom_site_occupancy
Li1 0.000 0.000 0.000 1
Li2 0.247 0.246 0.486 1
Ac1 0.000 0.500 0.746 1
Au1 0.000 0.000 0.462 1
Au2 0.000 0.155 0.746 1
Au3 0.000 0.216 0.229 1
Au4 0.000 0.500 0.086 1
Au5 0.000 0.500 0.406 1

=====

# LiAcAu4 | Alexandria | PBE-GGA | optimized geometry
# Total magnetic moment (μB per atom): 0.00
# Total DFT energy (no corrections) (eV/atom): -3.71
data_LiAcAu4
_chemical_formula_sum 'Li4 Ac4 Au16'
_space_group_name_H-M_alt 'F -4 3 m'
_space_group_IT_number 216
_space_group_name_Hall 'F -4 2 3'
_cell_length_a 8.064
_cell_length_b 8.064
_cell_length_c 8.064
_cell_angle_alpha 90.00
_cell_angle_beta 90.00
_cell_angle_gamma 90.00
loop_
_atom_site_label
_atom_site_fract_x
_atom_site_fract_y
_atom_site_fract_z
_atom_site_occupancy
Li1 0.000 0.000 0.000 1
Ac1 0.250 0.250 0.250 1
Au1 0.126 0.126 0.626 1

=====

# Li6Ac3Au5 | Alexandria | PBE-GGA | optimized geometry
# Total magnetic moment (μB per atom): 0.00
# Total DFT energy (no corrections) (eV/atom): -3.43
data_Li6Ac3Au5
_chemical_formula_sum 'Li12 Ac6 Au10'
_space_group_name_H-M_alt 'P m m n'
_space_group_IT_number 59
_cell_length_a 4.247
_cell_length_b 13.370
_cell_length_c 11.324
_cell_angle_alpha 90.00
_cell_angle_beta 90.00
_cell_angle_gamma 90.00
loop_
_space_group_symop_operation_xyz
'x,y,z'
'-x,-y,-z'
'-x+1/2,-y+1/2,z'
'x+1/2,y+1/2,-z'
'x+1/2,-y,-z'
'-x+1/2,y,z'
'-x,y+1/2,-z'
'x,-y+1/2,z'
loop_
_atom_site_label
_atom_site_fract_x
_atom_site_fract_y
_atom_site_fract_z
_atom_site_occupancy
Li1 0.250 0.058 0.074 1
Li2 0.250 0.250 0.489 1
Li3 0.250 0.250 0.975 1
Li4 0.250 0.585 0.506 1
Ac1 0.250 0.084 0.749 1
Ac2 0.250 0.750 0.775 1
Au1 0.250 0.086 0.336 1
Au2 0.250 0.637 0.039 1
Au3 0.250 0.750 0.356 1

=====

Copy entry 1 word for word.
# Li5AcAu7 | Alexandria | PBE-GGA | optimized geometry
# Total magnetic moment (μB per atom): 0.00
# Total DFT energy (no corrections) (eV/atom): -3.34
data_Li5AcAu7
_chemical_formula_sum 'Li10 Ac2 Au14'
_space_group_name_H-M_alt 'I m m 2'
_space_group_IT_number 44
_space_group_name_Hall 'I 2 -2'
_cell_length_a 5.451
_cell_length_b 9.353
_cell_length_c 9.256
_cell_angle_alpha 90.00
_cell_angle_beta 90.00
_cell_angle_gamma 90.00
loop_
_atom_site_label
_atom_site_fract_x
_atom_site_fract_y
_atom_site_fract_z
_atom_site_occupancy
Li1 0.000 0.000 0.000 1
Li2 0.247 0.246 0.486 1
Ac1 0.000 0.500 0.746 1
Au1 0.000 0.000 0.462 1
Au2 0.000 0.155 0.746 1
Au3 0.000 0.216 0.229 1
Au4 0.000 0.500 0.086 1
Au5 0.000 0.500 0.406 1

=====

Among the records above, which one has the lowest total DFT energy (no corrections)? LiAcAu4

=====

Which of these has the highest total DFT energy (no corrections)? Li5AcAu7